First-principles (PBE-GGA) data for a geometry-optimized AcSi3Rh3 structure, as listed in the Alexandria database.

```
14
Lattice="4.4232 0.0000 0.0000 0.0000 6.5075 -3.7055 0.0000 0.6035 8.5888" Properties=species:S:1:pos:R:3 pbc="T T T"
Ac 3.3174 3.2840 5.1377
Ac 1.1058 3.8270 -0.2544
Si 3.3174 6.6664 -0.1871
Si 3.3174 0.9571 -0.3772
Si 3.3174 4.3412 2.1812
Si 1.1058 0.4445 5.0704
Si 1.1058 6.1538 5.2605
Si 1.1058 2.7698 2.7021
Rh 3.3174 5.6290 -2.3321
Rh 3.3174 2.0507 1.8222
Rh 3.3174 6.6769 2.2164
Rh 1.1058 1.4820 7.2154
Rh 1.1058 5.0603 3.0611
Rh 1.1058 0.4341 2.6669
```

Results
SG: No. 11
ρ in g/cm³: 8.01
Crystal system: monoclinic
E_tot in eV/atom: -6.80



First-principles (PBE-GGA) data for a geometry-optimized AcSi6Rh12 structure, as listed in the Alexandria database.

```
19
Lattice="6.7519 -0.0944 -1.7968 -2.3144 6.3436 -1.7968 -0.0670 -0.0944 6.9866" Properties=species:S:1:pos:R:3 pbc="T T T"
Ac 0.0000 0.0000 0.0000
Si 4.0141 1.4627 0.0451
Si 1.0387 1.4627 3.8776
Si 0.0580 4.2719 0.0451
Si 3.3318 4.6921 -0.4846
Si 0.3564 4.6921 3.3480
Si 4.3125 1.8830 3.3480
Rh 5.5246 0.7062 1.6965
Rh 4.1665 3.4168 1.4383
Rh 2.4262 3.4168 3.6800
Rh 2.5178 1.0950 1.9547
Rh 1.9443 2.7381 -0.2869
Rh 0.2040 2.7381 1.9547
Rh -0.3263 3.0774 4.9316
Rh 1.3575 5.4486 -1.5386
Rh -1.1541 5.4486 1.6965
Rh 4.6968 3.0774 -1.5386
Rh 3.0130 0.7062 4.9316
Rh 1.8526 5.0598 1.4383
```

Results
SG: No. 166
ρ in g/cm³: 9.16
Crystal system: trigonal
E_tot in eV/atom: -7.35



First-principles (PBE-GGA) data for a geometry-optimized Ac3Si4Rh7 structure, as listed in the Alexandria database.

```
14
Lattice="-3.7796 0.1749 1.5872 0.6528 -4.0476 7.3038 0.4805 6.0847 5.7771" Properties=species:S:1:pos:R:3 pbc="T T T"
Ac -1.0022 0.4459 2.8678
Ac -1.6442 1.7662 11.8004
Ac 0.5666 1.0186 6.5405
Si -2.0636 -0.7521 5.7757
Si -0.5827 2.9642 8.8926
Si -2.6190 -1.3781 9.8256
Si -0.0274 3.5902 4.8427
Rh -0.3204 -0.2669 9.8732
Rh -1.3673 3.9620 6.9143
Rh -2.4553 4.2223 9.5984
Rh -2.3259 2.4790 4.7951
Rh -0.1911 -2.0103 5.0698
Rh 0.0000 0.0000 0.0000
Rh -1.2790 -1.7499 7.7539
```

Results
SG: No. 12
ρ in g/cm³: 9.46
Crystal system: monoclinic
E_tot in eV/atom: -6.91



First-principles (PBE-GGA) data for a geometry-optimized Ac6SiRh3 structure, as listed in the Alexandria database.

```
20
Lattice="4.4101 0.0000 0.0000 0.0000 11.8084 -4.0779 0.0000 -0.0581 12.6274" Properties=species:S:1:pos:R:3 pbc="T T T"
Ac 3.3076 5.4311 5.8121
Ac 1.1025 6.3192 2.7374
Ac 3.3076 10.9032 -2.5884
Ac 1.1025 0.8471 11.1379
Ac 3.3076 4.6387 -0.8333
Ac 1.1025 7.1116 9.3828
Ac 3.3076 8.5857 0.3257
Ac 1.1025 3.1646 8.2238
Ac 3.3076 1.3806 5.3997
Ac 1.1025 10.3697 3.1497
Ac 3.3076 9.3886 6.2467
Ac 1.1025 2.3617 2.3027
Si 3.3076 0.5217 8.5839
Si 1.1025 11.2286 -0.0345
Rh 3.3076 5.1855 8.7643
Rh 1.1025 6.5648 -0.2148
Rh 3.3076 8.1195 3.4161
Rh 1.1025 3.6308 5.1333
Rh 3.3076 1.8502 0.4442
Rh 1.1025 9.9001 8.1052
```

Results
SG: No. 11
ρ in g/cm³: 8.59
Crystal system: monoclinic
E_tot in eV/atom: -5.77



First-principles (PBE-GGA) data for a geometry-optimized Ac3Si4Rh2 structure, as listed in the Alexandria database.

```
9
Lattice="4.2520 0.0000 0.0000 -2.1260 6.0178 -0.0932 0.0000 -2.5652 8.1186" Properties=species:S:1:pos:R:3 pbc="T T T"
Ac 2.1260 -0.5188 5.5777
Ac 0.0000 0.0000 0.0000
Ac 0.0000 3.9713 2.4478
Si 2.1260 2.4712 0.5673
Si 0.0000 0.9813 7.4582
Si 2.1260 2.9994 4.8219
Si 0.0000 0.4532 3.2035
Rh 2.1260 1.5129 2.8929
Rh 0.0000 1.9396 5.1325
```

Results
SG: No. 12
ρ in g/cm³: 8.03
Crystal system: monoclinic
E_tot in eV/atom: -6.18



First-principles (PBE-GGA) data for a geometry-optimized Ac2Si2Rh3 structure, as listed in the Alexandria database.

```
7
Lattice="3.8412 0.0000 0.0000 -1.9206 5.7383 -0.2173 0.0000 -2.9007 6.7205" Properties=species:S:1:pos:R:3 pbc="T T T"
Ac 1.9206 3.6096 1.4082
Ac 0.0000 -0.7720 5.0950
Si 1.9206 1.8110 5.0226
Si 0.0000 1.0265 1.4806
Rh 1.9206 0.0000 0.0000
Rh 1.9206 0.4653 2.7945
Rh 0.0000 2.3723 3.7087
```

Results
SG: No. 12
ρ in g/cm³: 9.33
Crystal system: monoclinic
E_tot in eV/atom: -6.64



First-principles (PBE-GGA) data for a geometry-optimized AcSi3Rh structure, as listed in the Alexandria database.

```
5
Lattice="4.3683 -0.0025 -0.0001 -0.0011 4.3681 -0.0002 2.1807 2.1802 4.9831" Properties=species:S:1:pos:R:3 pbc="T T T"
Ac 3.7209 2.8612 4.6392
Si 3.7226 5.0443 2.0690
Si 1.5359 2.8645 2.0690
Si 3.7252 2.8653 0.6038
Rh 1.5387 5.0489 3.1314
```

Results
SG: No. 107
ρ in g/cm³: 7.23
Crystal system: tetragonal
E_tot in eV/atom: -6.31



First-principles (PBE-GGA) data for a geometry-optimized Ac2SiRh structure, as listed in the Alexandria database.

```
8
Lattice="-2.3410 1.4615 3.5109 -2.6153 -5.1820 0.4133 7.9496 0.7709 4.9796" Properties=species:S:1:pos:R:3 pbc="T T T"
Ac 1.0716 0.3769 4.8178
Ac 1.9217 -3.3266 4.0861
Ac -2.0895 -3.6699 1.5545
Ac 5.0828 0.7202 7.3493
Si 0.1640 -1.5446 2.1723
Si 2.8294 -1.4050 6.7315
Rh -1.1521 -1.8482 4.2612
Rh 4.1455 -1.1015 4.6426
```

Results
SG: No. 11
ρ in g/cm³: 8.73
Crystal system: monoclinic
E_tot in eV/atom: -5.90



What are the total magnetic moment values for these records? In order: 0.00 0.00 0.00 0.00 0.00 0.00 0.00 0.00 μB per formula unit.
What are the E_form (uncorrected) values for these records? In order: -0.74 -0.78 -0.81 -0.56 -0.77 -0.77 -0.77 -0.65 eV/atom.